--- 1 ---
Below is a geometry-optimized ZnGa5Ag2 structure, with properties calculated at the GGA-PBE level.

```
ZnGa5Ag2
1.0
1.462 -7.517 0.000
1.462 7.517 0.000
0.000 0.000 13.712
Zn Ga Ag
2 10 4
Cartesian
1.462 6.393 10.284
1.462 -6.393 3.428
1.462 6.158 7.607
1.462 6.158 12.962
1.462 3.400 3.428
1.462 3.340 7.978
1.462 3.340 12.591
1.462 -3.340 1.121
1.462 -3.340 5.735
1.462 -3.400 10.284
1.462 -6.158 0.751
1.462 -6.158 6.106
1.462 6.371 2.004
1.462 6.371 4.853
1.462 -6.371 8.860
1.462 -6.371 11.709
```

## Properties
- magnetization (μB per formula unit) = 0.00
- volume (Å³/cell) = 301.3


--- 2 ---
Below is a geometry-optimized ZnGa5Ag2 structure, with properties calculated at the GGA-PBE level.

```
ZnGa5Ag2
1.0
5.391 0.000 0.000
2.627 5.149 0.000
2.613 1.042 5.179
Zn Ga Ag
1 5 2
Cartesian
0.000 0.000 0.000
6.699 0.527 2.591
3.926 3.616 5.177
8.012 3.101 2.587
5.307 1.045 5.171
6.621 3.620 5.172
5.317 3.102 2.582
4.004 0.528 2.579
```

## Properties
- magnetization (μB per formula unit) = 0.00
- volume (Å³/cell) = 143.7


2 comes first in stability; the runner-up is 49 meV/atom higher.